Mg14FeSb: optimized geometry, PBE.

Summary:
For the spin magnetization, the calculation gives 0.14 μB per atom. Its space-group type is P-6m2 (187). The uncorrected formation energy is 0.0342 eV/atom.

Lattice parameters (Å, degrees): 6.2976 6.2976 10.1246 90.00 90.00 120.00
With the nearest neighbours (Å) after each atom.
Positions (direct):
1 Mg 0.0000 0.0000 0.2470  12 Mg 3.10-3.15
2 Mg 0.0000 0.0000 0.7530  12 Mg 3.10-3.15
3 Mg 0.0071 0.5035 0.2612  1 Fe 3.00, 10 Mg 3.04-3.22, 1 Sb 3.19
4 Mg 0.0071 0.5035 0.7388  1 Fe 3.00, 10 Mg 3.04-3.22, 1 Sb 3.19
5 Mg 0.3292 0.1646 0.5000  10 Mg 3.04-3.19, 2 Fe 3.15
6 Mg 0.3360 0.1680 0.0000  10 Mg 3.10-3.22, 2 Sb 3.15
7 Mg 0.4965 0.5035 0.2612  1 Fe 3.00, 10 Mg 3.04-3.22, 1 Sb 3.19
8 Mg 0.4965 0.5035 0.7388  1 Fe 3.00, 10 Mg 3.04-3.22, 1 Sb 3.19
9 Mg 0.4965 0.9929 0.2612  1 Fe 3.00, 10 Mg 3.04-3.22, 1 Sb 3.19
10 Mg 0.4965 0.9929 0.7388  1 Fe 3.00, 10 Mg 3.04-3.22, 1 Sb 3.19
11 Mg 0.8320 0.1680 0.0000  10 Mg 3.10-3.22, 2 Sb 3.15
12 Mg 0.8320 0.6640 0.0000  10 Mg 3.10-3.22, 2 Sb 3.15
13 Mg 0.8354 0.1646 0.5000  10 Mg 3.04-3.19, 2 Fe 3.15
14 Mg 0.8354 0.6708 0.5000  10 Mg 3.04-3.19, 2 Fe 3.15
15 Fe 0.3333 0.6667 0.5000  12 Mg 3.00-3.15
16 Sb 0.3333 0.6667 0.0000  12 Mg 3.15-3.19

***

TiTc2F: optimized geometry, PBE.

Summary:
For the spin magnetization, the calculation gives 0.00 μB per atom. Its space-group type is Fm-3m (225). The uncorrected formation energy is 0.2298 eV/atom.

Lattice parameters (Å, degrees): 4.2811 4.2811 4.2811 60.00 60.00 60.00
With the nearest neighbours (Å) after each atom.
Positions (direct):
1 Ti 0.0000 0.0000 0.0000  8 Tc 2.62
2 Tc 0.2500 0.2500 0.2500  4 F 2.62, 4 Ti 2.62
3 Tc 0.7500 0.7500 0.7500  4 F 2.62, 4 Ti 2.62
4 F 0.5000 0.5000 0.5000  8 Tc 2.62

***

Dy7Ho12Pu: optimized geometry, PBE.

Summary:
For the spin magnetization, the calculation gives 0.26 μB per atom. Its space-group type is R-3m (166). The calculation puts the formation energy at 0.11 eV per atom.

Lattice parameters (Å, degrees): 8.6835 8.6835 8.6835 99.23 99.23 99.23
With the nearest neighbours (Å) after each atom.
Positions (direct):
1 Dy 0.0000 0.0000 0.0000  12 Ho 3.44-3.57
2 Dy 0.1646 0.6014 0.6014  3 Dy 3.19-3.51, 1 Pu 3.38, 4 Ho 3.40-3.55
3 Dy 0.3986 0.3986 0.8354  3 Dy 3.19-3.51, 1 Pu 3.38, 4 Ho 3.40-3.55
4 Dy 0.3986 0.8354 0.3986  3 Dy 3.19-3.51, 1 Pu 3.38, 4 Ho 3.40-3.55
5 Dy 0.6014 0.1646 0.6014  3 Dy 3.19-3.51, 1 Pu 3.38, 4 Ho 3.40-3.55
6 Dy 0.6014 0.6014 0.1646  3 Dy 3.19-3.51, 1 Pu 3.38, 4 Ho 3.40-3.55
7 Dy 0.8354 0.3986 0.3986  3 Dy 3.19-3.51, 1 Pu 3.38, 4 Ho 3.40-3.55
8 Ho 0.0000 0.2602 0.7398  6 Ho 3.35-3.52, 5 Dy 3.40-3.55
9 Ho 0.0000 0.7398 0.2602  6 Ho 3.35-3.52, 5 Dy 3.40-3.55
10 Ho 0.1470 0.1470 0.4144  6 Ho 3.35-3.54, 3 Dy 3.57-3.74
11 Ho 0.1470 0.4144 0.1470  6 Ho 3.35-3.54, 3 Dy 3.57-3.74
12 Ho 0.2602 0.0000 0.7398  6 Ho 3.35-3.52, 5 Dy 3.40-3.55
13 Ho 0.2602 0.7398 0.0000  6 Ho 3.35-3.52, 5 Dy 3.40-3.55
14 Ho 0.4144 0.1470 0.1470  6 Ho 3.35-3.54, 3 Dy 3.57-3.74
15 Ho 0.5856 0.8530 0.8530  6 Ho 3.35-3.54, 3 Dy 3.57-3.74
16 Ho 0.7398 0.0000 0.2602  6 Ho 3.35-3.52, 5 Dy 3.40-3.55
17 Ho 0.7398 0.2602 0.0000  6 Ho 3.35-3.52, 5 Dy 3.40-3.55
18 Ho 0.8530 0.5856 0.8530  6 Ho 3.35-3.54, 3 Dy 3.57-3.74
19 Ho 0.8530 0.8530 0.5856  6 Ho 3.35-3.54, 3 Dy 3.57-3.74
20 Pu 0.5000 0.5000 0.5000  6 Dy 3.38